## i
A plane-wave DFT calculation with PBE was carried out for an optimized crystal structure of ReSiNi.

Cell lengths 4.044, 4.044, 4.044 Å; angles 60.00, 60.00, 60.00 degrees
Element x y z (fractional)
Re 0.000 0.000 0.000
Si 0.250 0.250 0.250
Ni 0.750 0.750 0.750

Values from the calculation:
Magnetization, μB/f.u.: 1.2
Space group: F-43m

***

## ii
A plane-wave DFT calculation with PBE was carried out for an optimized crystal structure of ReSiNi.

Cell lengths 4.892, 4.892, 4.892 Å; angles 145.43, 145.43, 49.70 degrees
Element x y z (fractional)
Re 0.000 0.000 0.000
Si 0.669 0.669 0.000
Ni 0.306 0.306 0.000

Values from the calculation:
Magnetization, μB/f.u.: 0.0
Space group: I4mm

***

Most stable structure, least stable structure: ii, i.

***

## i
A plane-wave DFT calculation with PBE was carried out for an optimized crystal structure of ReSiNi.

Cell lengths 2.734, 2.734, 5.999 Å; angles 90.00, 90.00, 120.00 degrees
Element x y z (fractional)
Re 0.000 0.000 0.000
Si 0.667 0.333 0.348
Ni 0.333 0.667 0.644

Values from the calculation:
Magnetization, μB/f.u.: 0.0
Space group: P3m1

***

## ii
A plane-wave DFT calculation with PBE was carried out for an optimized crystal structure of ReSiNi.

Cell lengths 4.031, 4.031, 2.684 Å; angles 90.00, 90.00, 120.00 degrees
Element x y z (fractional)
Re 0.000 0.000 0.000
Si 0.333 0.667 0.500
Ni 0.667 0.333 0.500

Values from the calculation:
Magnetization, μB/f.u.: 0.0
Space group: P-6m2

***

Most stable structure, least stable structure: ii, i.

***

## i
A plane-wave DFT calculation with PBE was carried out for an optimized crystal structure of ReSiNi.

Cell lengths 3.927, 3.927, 3.927 Å; angles 60.00, 60.00, 60.00 degrees
Element x y z (fractional)
Re 0.000 0.000 0.000
Si 0.250 0.250 0.250
Ni 0.500 0.500 0.500

Values from the calculation:
Magnetization, μB/f.u.: 0.0
Space group: F-43m

***

## ii
A plane-wave DFT calculation with PBE was carried out for an optimized crystal structure of ReSiNi.

Cell lengths 4.808, 4.808, 11.991 Å; angles 90.00, 90.00, 120.00 degrees
Element x y z (fractional)
Re 0.000 0.000 0.000
Re 0.000 0.000 0.333
Re 0.000 0.000 0.667
Re 0.000 0.500 0.167
Re 0.500 0.000 0.500
Re 0.500 0.500 0.833
Si 0.000 0.500 0.495
Si 0.000 0.500 0.839
Si 0.500 0.000 0.172
Si 0.500 0.000 0.828
Si 0.500 0.500 0.161
Si 0.500 0.500 0.505
Ni 0.305 0.652 0.667
Ni 0.348 0.652 0.333
Ni 0.348 0.695 0.000
Ni 0.652 0.305 0.000
Ni 0.652 0.348 0.333
Ni 0.695 0.348 0.667

Values from the calculation:
Magnetization, μB/f.u.: 0.1
Space group: P6_222

***

Most stable structure, least stable structure: i, ii.

***

## i
A plane-wave DFT calculation with PBE was carried out for an optimized crystal structure of ReSiNi3.

Cell lengths 4.501, 4.501, 4.501 Å; angles 90.00, 90.00, 90.00 degrees
Element x y z (fractional)
Re 0.000 0.000 0.000
Si 0.500 0.500 0.500
Ni 0.000 0.000 0.500
Ni 0.000 0.500 0.000
Ni 0.500 0.000 0.000

Values from the calculation:
Magnetization, μB/f.u.: 0.0
Space group: Pm-3m

***

## ii
A plane-wave DFT calculation with PBE was carried out for an optimized crystal structure of ReSiNi3.

Cell lengths 4.091, 4.091, 4.091 Å; angles 90.00, 90.00, 90.00 degrees
Element x y z (fractional)
Re 0.000 0.000 0.000
Si 0.500 0.500 0.500
Ni 0.000 0.500 0.500
Ni 0.500 0.000 0.500
Ni 0.500 0.500 0.000

Values from the calculation:
Magnetization, μB/f.u.: 0.1
Space group: Pm-3m

***

Most stable structure, least stable structure: ii, i.

***

## i
A plane-wave DFT calculation with PBE was carried out for an optimized crystal structure of Re2NiSn2.

Cell lengths 6.529, 6.529, 4.214 Å; angles 90.00, 90.00, 90.00 degrees
Element x y z (fractional)
Re 0.133 0.367 0.000
Re 0.367 0.867 0.000
Re 0.633 0.133 0.000
Re 0.867 0.633 0.000
Ni 0.000 0.000 0.000
Ni 0.500 0.500 0.000
Sn 0.175 0.675 0.500
Sn 0.325 0.175 0.500
Sn 0.675 0.825 0.500
Sn 0.825 0.325 0.500

Values from the calculation:
Magnetization, μB/f.u.: 0.0
Space group: P4/mbm

***

## ii
A plane-wave DFT calculation with PBE was carried out for an optimized crystal structure of Re2NiSn2.

Cell lengths 5.258, 5.258, 5.258 Å; angles 120.23, 120.23, 89.60 degrees
Element x y z (fractional)
Re 0.154 0.154 0.000
Re 0.846 0.846 0.000
Ni 0.500 0.500 0.000
Sn 0.250 0.750 0.500
Sn 0.750 0.250 0.500

Values from the calculation:
Magnetization, μB/f.u.: 0.0
Space group: I4/mmm

***

Most stable structure, least stable structure: i, ii.

***

## i
A plane-wave DFT calculation with PBE was carried out for an optimized crystal structure of Sr2ReNi.

Cell lengths 9.692, 9.692, 9.692 Å; angles 20.02, 20.02, 20.02 degrees
Element x y z (fractional)
Sr 0.246 0.246 0.246
Sr 0.754 0.754 0.754
Re 0.000 0.000 0.000
Ni 0.500 0.500 0.500

Values from the calculation:
Magnetization, μB/f.u.: 1.0
Space group: R-3m

***

## ii
A plane-wave DFT calculation with PBE was carried out for an optimized crystal structure of Sr2ReNi.

Cell lengths 5.249, 5.249, 5.249 Å; angles 60.00, 60.00, 60.00 degrees
Element x y z (fractional)
Sr 0.250 0.250 0.250
Sr 0.750 0.750 0.750
Re 0.000 0.000 0.000
Ni 0.500 0.500 0.500

Values from the calculation:
Magnetization, μB/f.u.: 3.0
Space group: Fm-3m

***

Most stable structure, least stable structure: ii, i.

***

## i
A plane-wave DFT calculation with PBE was carried out for an optimized crystal structure of Sr2ReNi.

Cell lengths 3.020, 3.422, 8.799 Å; angles 90.00, 90.09, 90.00 degrees
Element x y z (fractional)
Sr 0.000 0.000 0.233
Sr 0.000 0.000 0.767
Re 0.500 0.500 0.500
Ni 0.500 0.500 0.000

Values from the calculation:
Magnetization, μB/f.u.: 0.1
Space group: P2/m

***

## ii
A plane-wave DFT calculation with PBE was carried out for an optimized crystal structure of Sr2ReNi.

Cell lengths 6.565, 6.565, 6.565 Å; angles 101.35, 101.35, 127.34 degrees
Element x y z (fractional)
Sr 0.078 0.625 0.953
Sr 0.375 0.328 0.453
Sr 0.672 0.125 0.047
Sr 0.875 0.922 0.547
Re 0.250 0.750 0.500
Re 0.500 0.500 0.000
Ni 0.000 0.000 0.000
Ni 0.750 0.250 0.500

Values from the calculation:
Magnetization, μB/f.u.: 2.8
Space group: I-42d

***

## iii
A plane-wave DFT calculation with PBE was carried out for an optimized crystal structure of Sr2ReNi.

Cell lengths 3.149, 3.608, 9.052 Å; angles 90.00, 90.00, 90.00 degrees
Element x y z (fractional)
Sr 0.000 0.000 0.000
Sr 0.500 0.500 0.411
Re 0.500 0.500 0.745
Ni 0.000 0.000 0.657

Values from the calculation:
Magnetization, μB/f.u.: 0.0
Space group: Pmm2

***

Most stable structure, least stable structure: iii, ii.

***

## i
A plane-wave DFT calculation with PBE was carried out for an optimized crystal structure of Sr2Re2Ni.

Cell lengths 5.630, 5.630, 5.630 Å; angles 113.49, 113.49, 101.70 degrees
Element x y z (fractional)
Sr 0.250 0.750 0.500
Sr 0.750 0.250 0.500
Re 0.159 0.159 0.000
Re 0.841 0.841 0.000
Ni 0.500 0.500 0.000

Values from the calculation:
Magnetization, μB/f.u.: 2.8
Space group: I4/mmm

***

## ii
A plane-wave DFT calculation with PBE was carried out for an optimized crystal structure of Sr2Re2Ni.

Cell lengths 6.594, 6.594, 5.158 Å; angles 90.00, 90.00, 90.00 degrees
Element x y z (fractional)
Sr 0.180 0.320 0.000
Sr 0.320 0.820 0.000
Sr 0.680 0.180 0.000
Sr 0.820 0.680 0.000
Re 0.126 0.626 0.500
Re 0.374 0.126 0.500
Re 0.626 0.874 0.500
Re 0.874 0.374 0.500
Ni 0.000 0.000 0.500
Ni 0.500 0.500 0.500

Values from the calculation:
Magnetization, μB/f.u.: 1.1
Space group: P4/mbm

***

Most stable structure, least stable structure: ii, i.